# Os2Au (PBE, optimized geometry)
# calculated volume: 49.5 Å³/f.u.
# mass density: 19.37 g/cm³
data_Os2Au
_chemical_formula_sum 'Os6 Au3'
_symmetry_space_group_name_H-M 'P -6 2 m'
_symmetry_Int_Tables_number 189
_symmetry_space_group_name_Hall 'P -6 -2'
_cell_length_a 6.5672
_cell_length_b 6.5672
_cell_length_c 3.9750
_cell_angle_alpha 90.00
_cell_angle_beta 90.00
_cell_angle_gamma 120.00
loop_
_atom_site_label
_atom_site_type_symbol
_atom_site_fract_x
_atom_site_fract_y
_atom_site_fract_z
_atom_site_occupancy
Os1 Os 0.0000 0.2391 0.0000 1
Os2 Os 0.0000 0.5804 0.5000 1
Au1 Au 0.0000 0.0000 0.5000 1
Au2 Au 0.3333 0.6667 0.0000 1



# Os3Au (PBE, optimized geometry)
# calculated volume: 61.8 Å³/f.u.
# mass density: 20.64 g/cm³
data_Os3Au
_chemical_formula_sum 'Os3 Au1'
_symmetry_space_group_name_H-M 'P 4/m m m'
_symmetry_Int_Tables_number 123
_symmetry_space_group_name_Hall '-P 4 2'
_cell_length_a 4.7229
_cell_length_b 4.7229
_cell_length_c 2.7684
_cell_angle_alpha 90.00
_cell_angle_beta 90.00
_cell_angle_gamma 90.00
loop_
_atom_site_label
_atom_site_type_symbol
_atom_site_fract_x
_atom_site_fract_y
_atom_site_fract_z
_atom_site_occupancy
Os1 Os 0.0000 0.0000 0.0000 1
Os2 Os 0.0000 0.5000 0.5000 1
Au1 Au 0.5000 0.5000 0.0000 1



| no. | distance to the lowest polymorph of the same formula (meV per atom) | DFT formation energy (kJ/mol of atoms) |
| --- | --- | --- |
| 1 | 1050.5 | 133.9 |
| 2 | 572.1 | 86.0 |